TbHoAl2: relaxed, PBE.

The structure belongs to space group P4/mmm (No. 123); the cell edges are 3.597, 3.597 and 7.188 Å and the angles 90.00°, 90.00° and 90.00°. The inequivalent atoms are Tb at (0.000, 0.000, 0.000), Ho at (0.000, 0.000, 0.500) and Al at (0.500, 0.500, 0.254).

As for the total magnetization: 0.000 μB/atom. The formation energy comes out at -0.397 eV per atom. The calculated density comes out at 6.746 g/cm3.